1) DFT (PBE) results for crystalline YSc2Pd at its relaxed geometry.

The calculated density is 4.8 g/cm³.

The space group is I-42d (No. 122) and the conventional cell measures 8.0768, 8.0768 and 6.0710 Å, with angles of 90.00, 90.00 and 90.00 degrees. The inequivalent atoms are Y at (0.0000, 0.0000, 0.0000), Sc at (0.1840, 0.2500, 0.6250) and Pd at (0.0000, 0.0000, 0.5000).

---

2) DFT (PBE) results for crystalline YSc2Pd at its relaxed geometry.

The calculated density is 5.0 g/cm³.

The space group is Pnma (No. 62) and the conventional cell measures 6.6471, 9.3869 and 6.1246 Å, with angles of 90.00, 90.00 and 90.00 degrees. The inequivalent atoms are Y at (0.0090, 0.2500, 0.1194), Sc at (0.1769, 0.0538, 0.6771) and Pd at (0.1051, 0.7500, 0.4221).

---

Most stable to least stable, the ends of the list are 2) and 1).

---

1) DFT (PBE) results for crystalline YSc2Pd at its relaxed geometry.

The calculated density is 5.4 g/cm³.

The space group is Fm-3m (No. 225) and the conventional cell measures 7.0485, 7.0485 and 7.0485 Å, with angles of 90.00, 90.00 and 90.00 degrees. The inequivalent atoms are Y at (0.0000, 0.0000, 0.0000), Sc at (0.2500, 0.2500, 0.2500) and Pd at (0.0000, 0.0000, 0.5000).

---

2) DFT (PBE) results for crystalline YSc2Pd at its relaxed geometry.

The calculated density is 4.8 g/cm³.

The space group is R-3m (No. 166, hexagonal axes) and the conventional cell measures 3.3122, 3.3122 and 31.1313 Å, with angles of 90.00, 90.00 and 120.00 degrees. The inequivalent atoms are Y at (0.0000, 0.0000, 0.0000), Sc at (0.0000, 0.0000, 0.1035) and Pd at (0.0000, 0.0000, 0.5000).

---

Most stable to least stable, the ends of the list are 1) and 2).

---

1) DFT (PBE) results for crystalline YSc2Pd at its relaxed geometry.

The calculated density is 4.8 g/cm³.

The space group is R3m (No. 160, hexagonal axes) and the conventional cell measures 3.4965, 3.4965 and 27.7686 Å, with angles of 90.00, 90.00 and 120.00 degrees. The inequivalent atoms are Y at (0.0000, 0.0000, 0.0000), Sc at (0.0000, 0.0000, 0.2347), Sc at (0.0000, 0.0000, 0.4361) and Pd at (0.0000, 0.0000, 0.8355).

---

2) DFT (PBE) results for crystalline YSc2Pd at its relaxed geometry.

The calculated density is 5.0 g/cm³.

The space group is Cmcm (No. 63) and the conventional cell measures 4.6072, 11.1159 and 7.4723 Å, with angles of 90.00, 90.00 and 90.00 degrees. The inequivalent atoms are Y at (0.0000, 0.0526, 0.2500), Sc at (0.0000, 0.3486, 0.0429) and Pd at (0.0000, 0.2050, 0.7500).

---

3) DFT (PBE) results for crystalline YSc2Pd at its relaxed geometry.

The calculated density is 5.1 g/cm³.

The space group is P4/mmm (No. 123) and the conventional cell measures 3.3972, 3.3972 and 8.0398 Å, with angles of 90.00, 90.00 and 90.00 degrees. The inequivalent atoms are Y at (0.0000, 0.0000, 0.0000), Sc at (0.5000, 0.5000, 0.3041) and Pd at (0.0000, 0.0000, 0.5000).

---

Most stable to least stable, the ends of the list are 2) and 1).

---

1) DFT (PBE) results for crystalline YScPd3 at its relaxed geometry.

The calculated density is 6.7 g/cm³.

The space group is Pm-3m (No. 221) and the conventional cell measures 4.8136, 4.8136 and 4.8136 Å, with angles of 90.00, 90.00 and 90.00 degrees. The inequivalent atoms are Y at (0.0000, 0.0000, 0.0000), Sc at (0.5000, 0.5000, 0.5000) and Pd at (0.0000, 0.5000, 0.5000).

---

2) DFT (PBE) results for crystalline YScPd3 at its relaxed geometry.

The calculated density is 7.3 g/cm³.

The space group is Pnma (No. 62) and the conventional cell measures 7.7310, 7.6626 and 6.9726 Å, with angles of 90.00, 90.00 and 90.00 degrees. The inequivalent atoms are Y at (0.0934, 0.2500, 0.0136), Sc at (0.0000, 0.0000, 0.5000), Pd at (0.2065, 0.5713, 0.8024) and Pd at (0.2487, 0.7500, 0.1464).

---

Most stable to least stable, the ends of the list are 2) and 1).

---

1) DFT (PBE) results for crystalline YScPd4 at its relaxed geometry.

The calculated density is 8.4 g/cm³.

The space group is F-43m (No. 216) and the conventional cell measures 7.6116, 7.6116 and 7.6116 Å, with angles of 90.00, 90.00 and 90.00 degrees. The inequivalent atoms are Y at (0.0000, 0.0000, 0.0000), Sc at (0.2500, 0.2500, 0.2500) and Pd at (0.1247, 0.1247, 0.6247).

---

2) DFT (PBE) results for crystalline YScPd4 at its relaxed geometry.

The calculated density is 7.5 g/cm³.

The space group is P4/mmm (No. 123) and the conventional cell measures 3.9361, 3.9361 and 8.0480 Å, with angles of 90.00, 90.00 and 90.00 degrees. The inequivalent atoms are Y at (0.0000, 0.0000, 0.0000), Sc at (0.5000, 0.5000, 0.5000) and Pd at (0.0000, 0.5000, 0.2653).

---

Most stable to least stable, the ends of the list are 1) and 2).

---

1) DFT (PBE) results for crystalline YScPd at its relaxed geometry.

The calculated density is 5.7 g/cm³.

The space group is Amm2 (No. 38) and the conventional cell measures 4.7631, 12.3046 and 7.1194 Å, with angles of 90.00, 90.00 and 90.00 degrees. The inequivalent atoms are Y at (0.0000, 0.0000, 0.0000), Y at (0.0000, 0.2042, 0.3878), Sc at (0.5000, 0.0000, 0.3330), Sc at (0.5000, 0.1297, 0.7211), Pd at (0.0000, 0.0000, 0.5922) and Pd at (0.5000, 0.1664, 0.0914).

---

2) DFT (PBE) results for crystalline YScPd at its relaxed geometry.

The calculated density is 5.3 g/cm³.

The space group is F-43m (No. 216) and the conventional cell measures 6.7189, 6.7189 and 6.7189 Å, with angles of 90.00, 90.00 and 90.00 degrees. The inequivalent atoms are Y at (0.0000, 0.0000, 0.0000), Sc at (0.0000, 0.0000, 0.5000) and Pd at (0.2500, 0.2500, 0.7500).

---

Most stable to least stable, the ends of the list are 1) and 2).

---

1) DFT (PBE) results for crystalline ScZn4Pd2 at its relaxed geometry.

The calculated density is 5.4 g/cm³.

The space group is I4/mmm (No. 139) and the conventional cell measures 4.9200, 4.9200 and 13.1182 Å, with angles of 90.00, 90.00 and 90.00 degrees. The inequivalent atoms are Sc at (0.0000, 0.0000, 0.0000), Zn at (0.0000, 0.0000, 0.2127), Zn at (0.0000, 0.5000, 0.0000) and Pd at (0.0000, 0.0000, 0.4008).

---

2) DFT (PBE) results for crystalline ScZn4Pd2 at its relaxed geometry.

The calculated density is 7.5 g/cm³.

The space group is P4_2/mnm (No. 136) and the conventional cell measures 7.2366, 7.2366 and 4.3703 Å, with angles of 90.00, 90.00 and 90.00 degrees. The inequivalent atoms are Sc at (0.0000, 0.0000, 0.0000), Zn at (0.1083, 0.3614, 0.5000) and Pd at (0.2178, 0.7822, 0.5000).

---

Most stable to least stable, the ends of the list are 2) and 1).

---

1) DFT (PBE) results for crystalline ScZn3Pd at its relaxed geometry.

The calculated density is 7.0 g/cm³.

The space group is Pm-3m (No. 221) and the conventional cell measures 6.2835, 6.2835 and 6.2835 Å, with angles of 90.00, 90.00 and 90.00 degrees. The inequivalent atoms are Sc at (0.0000, 0.0000, 0.5000), Zn at (0.0000, 0.0000, 0.0000), Zn at (0.2794, 0.2794, 0.2794) and Pd at (0.0000, 0.5000, 0.5000).

---

2) DFT (PBE) results for crystalline ScZn3Pd at its relaxed geometry.

The calculated density is 5.5 g/cm³.

The space group is Pm-3m (No. 221) and the conventional cell measures 4.7099, 4.7099 and 4.7099 Å, with angles of 90.00, 90.00 and 90.00 degrees. The inequivalent atoms are Sc at (0.0000, 0.0000, 0.0000), Zn at (0.0000, 0.5000, 0.5000) and Pd at (0.5000, 0.5000, 0.5000).

---

Most stable to least stable, the ends of the list are 1) and 2).

---

1) DFT (PBE) results for crystalline ScZn3Pd at its relaxed geometry.

The calculated density is 4.4 g/cm³.

The space group is Pm-3m (No. 221) and the conventional cell measures 5.0870, 5.0870 and 5.0870 Å, with angles of 90.00, 90.00 and 90.00 degrees. The inequivalent atoms are Sc at (0.0000, 0.0000, 0.0000), Zn at (0.0000, 0.0000, 0.5000) and Pd at (0.5000, 0.5000, 0.5000).

---

2) DFT (PBE) results for crystalline ScZn3Pd at its relaxed geometry.

The calculated density is 5.5 g/cm³.

The space group is I-4m2 (No. 119) and the conventional cell measures 4.8876, 4.8876 and 17.5297 Å, with angles of 90.00, 90.00 and 90.00 degrees. The inequivalent atoms are Sc at (0.0000, 0.0000, 0.1897), Zn at (0.0000, 0.2468, 0.6236), Zn at (0.0000, 0.5000, 0.0596), Pd at (0.0000, 0.0000, 0.5000) and Pd at (0.0000, 0.5000, 0.7500).

---

Most stable to least stable, the ends of the list are 2) and 1).

---

1) DFT (PBE) results for crystalline Sc2ZnPd3 at its relaxed geometry.

The calculated density is 7.3 g/cm³.

The space group is Immm (No. 71) and the conventional cell measures 4.6072, 5.2242 and 8.9900 Å, with angles of 90.00, 90.00 and 90.00 degrees. The inequivalent atoms are Sc at (0.0000, 0.0000, 0.1860), Zn at (0.0000, 0.0000, 0.5000), Pd at (0.0000, 0.5000, 0.1479) and Pd at (0.0000, 0.5000, 0.5000).

---

2) DFT (PBE) results for crystalline Sc2ZnPd3 at its relaxed geometry.

The calculated density is 7.8 g/cm³.

The space group is P-3m1 (No. 164) and the conventional cell measures 4.5769, 4.5769 and 11.1534 Å, with angles of 90.00, 90.00 and 120.00 degrees. The inequivalent atoms are Sc at (0.0000, 0.0000, 0.0000), Sc at (0.0000, 0.0000, 0.5000), Sc at (0.3333, 0.6667, 0.1800), Zn at (0.3333, 0.6667, 0.6672), Pd at (0.0000, 0.0000, 0.2521), Pd at (0.3333, 0.6667, 0.4235) and Pd at (0.3333, 0.6667, 0.9163).

---

Most stable to least stable, the ends of the list are 2) and 1).

---

1) DFT (PBE) results for crystalline Sc2Zn2Pd at its relaxed geometry.

The calculated density is 6.1 g/cm³.

The space group is Cmmm (No. 65) and the conventional cell measures 4.0833, 13.5595 and 3.2122 Å, with angles of 90.00, 90.00 and 90.00 degrees. The inequivalent atoms are Sc at (0.0000, 0.1116, 0.0000), Zn at (0.0000, 0.3012, 0.5000) and Pd at (0.0000, 0.5000, 0.5000).

---

2) DFT (PBE) results for crystalline Sc2Zn2Pd at its relaxed geometry.

The calculated density is 5.6 g/cm³.

The space group is I4/mmm (No. 139) and the conventional cell measures 3.4655, 3.4655 and 16.2122 Å, with angles of 90.00, 90.00 and 90.00 degrees. The inequivalent atoms are Sc at (0.0000, 0.0000, 0.0955), Zn at (0.0000, 0.5000, 0.2500) and Pd at (0.0000, 0.0000, 0.5000).

---

Most stable to least stable, the ends of the list are 1) and 2).